Density functional theory data (PBE) for an optimized crystal structure of Na2MgRhF8.

The structure in POSCAR format:
```
Na2MgRhF8
1.0
-1.356 3.364 -3.514
-1.794 -3.931 -2.662
-5.789 0.685 2.891
Na Mg Rh F
2 1 1 8
Cartesian
-5.840 0.221 -0.958
-3.099 -0.103 -2.327
-2.895 0.343 1.445
0.000 0.000 0.000
-3.058 -2.503 -2.148
-2.279 -0.408 -4.467
-2.767 2.253 -2.692
-5.882 2.621 -1.137
-0.872 -0.159 -1.708
-6.173 -2.135 -0.593
-5.187 -0.069 -3.049
-3.753 0.187 -0.236
```

## Properties
M_tot: 1.00 μB/f.u.
space-group type: P2/m
raw formation energy: -2436.8 meV/atom
theoretical density: 3.243 g/cm³
V: 167 Å³/f.u.

Density functional theory data (PBE) for an optimized crystal structure of ZrRe2Te.

The structure in POSCAR format:
```
ZrRe2Te
1.0
4.585 0.000 0.000
0.000 4.585 0.000
0.000 0.000 3.369
Re Te Zr
2 1 1
Cartesian
0.000 0.000 0.000
2.292 2.292 0.000
2.292 0.000 1.684
0.000 2.292 1.684
```

## Properties
M_tot: 0.00 μB/f.u.
space-group type: P4/mmm
raw formation energy: 273.1 meV/atom
theoretical density: 13.863 g/cm³
V: 71 Å³/f.u.

Density functional theory data (PBE) for an optimized crystal structure of Ga2Cu2Se.

The structure in POSCAR format:
```
Ga2Cu2Se
1.0
6.743 0.000 0.000
0.000 6.743 0.000
0.000 0.000 3.697
Cu Ga Se
4 4 2
Cartesian
2.481 5.853 0.000
5.853 4.262 0.000
4.262 0.890 0.000
0.890 2.481 0.000
1.095 4.467 1.848
4.467 5.648 1.848
5.648 2.276 1.848
2.276 1.095 1.848
0.000 0.000 0.000
3.371 3.371 0.000
```

## Properties
M_tot: 0.00 μB/f.u.
energy above the most stable polymorph in this dataset: 0 meV per atom
space-group type: P4/mbm
raw formation energy: 25.2 meV/atom
theoretical density: 6.827 g/cm³
V: 84 Å³/f.u.

Density functional theory data (PBE) for an optimized crystal structure of HoLuMgFe.

The structure in POSCAR format:
```
HoLuMgFe
1.0
-0.495 -4.861 -0.955
3.954 -3.010 0.296
0.337 -3.311 3.703
Mg Lu Ho Fe
1 1 1 1
Cartesian
0.949 -2.796 0.761
0.000 0.000 0.000
1.898 -5.591 1.522
2.847 -8.387 2.283
```

## Properties
M_tot: 1.25 μB/f.u.
DFT formation energy: 0.11 eV/atom
space-group type: F-43m
theoretical density: 7.993 g/cm³
V: 87 Å³/f.u.

Density functional theory data (PBE) for an optimized crystal structure of TbTmGePt.

The structure in POSCAR format:
```
TbTmGePt
1.0
3.903 0.000 0.000
0.000 4.263 0.000
-1.952 0.000 5.403
Tb Tm Ge Pt
1 1 1 1
Cartesian
1.952 2.131 3.895
0.000 0.000 1.514
1.952 2.131 0.900
0.000 0.000 4.498
```

## Properties
M_tot: 0.00 μB/f.u.
DFT formation energy: -1.08 eV/atom
energy above the most stable polymorph in this dataset: 0 meV per atom
space-group type: Amm2
theoretical density: 11.002 g/cm³
V: 90 Å³/f.u.

Density functional theory data (PBE) for an optimized crystal structure of K3Rh.

The structure in POSCAR format:
```
K3Rh
1.0
-3.417 1.288 5.870
-5.256 -4.489 0.127
6.875 0.705 0.194
K Rh
3 1
Cartesian
-0.478 -0.152 0.615
-3.626 -1.314 2.792
-0.296 0.279 4.784
-0.583 -2.245 3.021
```

## Properties
M_tot: 0.00 μB/f.u.
DFT formation energy: 0.54 eV/atom
space-group type: Imm2
theoretical density: 2.215 g/cm³
V: 165 Å³/f.u.